Entry 1:
This record from the Alexandria database describes an optimized crystal structure of LiTmPu. The functional is PBE.

abc: 3.3371 3.3371 8.2732
angles: 90.00 90.00 120.00
Positions (direct):
Li 0.0000 0.0000 0.0000
Tm 0.3333 0.6667 0.6698
Pu 0.6667 0.3333 0.3309

Computed properties:
Its crystal system is trigonal. Its space group is P3m1 (156). As for the mass density: 8.74 g cm⁻³. The calculation puts the energy above the most stable polymorph in this dataset at 0.000 eV/atom.

---

Entry 2:
This record from the Alexandria database describes an optimized crystal structure of LiTmPu. The functional is PBE.

abc: 13.7593 13.7593 13.7593
angles: 15.24 15.24 15.24
Positions (direct):
Li 0.1934 0.1934 0.1934
Li 0.8066 0.8066 0.8066
Tm 0.0745 0.0745 0.0745
Tm 0.9255 0.9255 0.9255
Pu 0.3456 0.3456 0.3456
Pu 0.6544 0.6544 0.6544

Computed properties:
Its crystal system is trigonal. Its space group is R-3m (166). As for the mass density: 8.89 g cm⁻³. The calculation puts the energy above the most stable polymorph in this dataset at 0.015 eV/atom.

---

Entry 3:
This record from the Alexandria database describes an optimized crystal structure of LiTmPuZn. The functional is PBE.

abc: 5.0585 5.0585 5.0585
angles: 60.00 60.00 60.00
Positions (direct):
Li 0.0000 0.0000 0.0000
Tm 0.2500 0.2500 0.2500
Pu 0.7500 0.7500 0.7500
Zn 0.5000 0.5000 0.5000

Computed properties:
For the final energy, the calculation gives -5.433 eV/atom. Its crystal system is cubic. Its space group is F-43m (216). As for the mass density: 8.80 g cm⁻³.